18
Lattice="5.253 0.000 0.000 -2.626 4.549 0.000 0.000 0.000 9.097" Properties=species:S:1:pos:R:3 comment="UAlMoO6, relaxed, DFT PBE with a Hubbard U" dft_energy_ev_per_cell=-150.54 spacegroup=P-31c pbc="T T T"
U 0.000 3.033 2.274
U 2.626 1.516 6.823
Al 0.000 3.033 6.823
Al 2.626 1.516 2.274
Mo 0.000 0.000 0.000
Mo 0.000 0.000 4.549
O -0.813 1.623 5.774
O -1.627 3.033 7.872
O 0.813 1.623 7.872
O -0.814 4.442 5.774
O 1.813 0.107 1.226
O 0.999 1.516 3.323
O 1.627 3.033 5.774
O 0.814 4.442 7.872
O 3.440 0.107 3.323
O 1.813 2.926 1.226
O 4.254 1.516 1.226
O 3.440 2.926 3.323